[1]
Material: SmGdBr
Method: DFT, PBE
State: optimized geometry

Lattice parameters (Å, degrees): 3.7874 3.7874 7.3825 90.00 90.00 120.00
Space group P3m1 (No. 156)
One atom of each set of equivalent atoms:
Sm  0.0000  0.0000  0.0000 (multiplicity 1)
Gd  0.3333  0.6667  0.6318 (multiplicity 1)
Br  0.6667  0.3333  0.3184 (multiplicity 1)

Total magnetization in μB/cell: 7.581
Uncorrected energy in eV per atom: -7.584
Mass density in Mg/m³: 7.02

[2]
Material: Y2TaMn
Method: DFT, PBE
State: optimized geometry

Lattice parameters (Å, degrees): 4.608 4.608 8.732 90.00 90.00 90.00
Space group I4/mmm (No. 139)
One atom of each set of equivalent atoms:
Y  0.000  0.500  0.250 (multiplicity 4)
Ta  0.000  0.000  0.000 (multiplicity 2)
Mn  0.000  0.000  0.500 (multiplicity 2)

Offset from the most stable computed form in eV per atom: 0.345
Total magnetization in μB/cell: 8.260
Mass density in Mg/m³: 7.41
Energy of formation in eV per atom: 0.5024

[3]
Material: SrVFe2S
Method: DFT, PBE
State: optimized geometry

Lattice parameters (Å, degrees): 4.480 4.480 4.796 90.00 90.00 90.00
Space group P4/mmm (No. 123)
One atom of each set of equivalent atoms:
Sr  0.000  0.000  0.000 (multiplicity 1)
V  0.500  0.500  0.500 (multiplicity 1)
Fe  0.000  0.500  0.500 (multiplicity 2)
S  0.500  0.500  0.000 (multiplicity 1)

Total magnetization in μB/cell: 3.533
Uncorrected energy in eV per atom: -6.117
Mass density in Mg/m³: 4.87

[4]
Material: Ac2SeBr
Method: DFT, PBE
State: optimized geometry

Lattice parameters (Å, degrees): 7.767 7.767 7.767 90.00 90.00 90.00
Space group Fm-3m (No. 225)
One atom of each set of equivalent atoms:
Ac  0.250  0.250  0.250 (multiplicity 8)
Se  0.000  0.000  0.000 (multiplicity 4)
Br  0.000  0.000  0.500 (multiplicity 4)

Offset from the most stable computed form in eV per atom: 0.159
Total magnetization in μB/cell: 0.000
Mass density in Mg/m³: 8.69

[5]
Material: Th2Si3Ir2
Method: DFT, PBE
State: optimized geometry

Lattice parameters (Å, degrees): 10.713 4.118 6.979 90.00 119.44 90.00
Space group C2/m (No. 12)
One atom of each set of equivalent atoms:
Th  0.138  0.000  0.267 (multiplicity 4)
Si  0.000  0.500  0.500 (multiplicity 2)
Si  0.134  0.500  0.925 (multiplicity 4)
Ir  0.140  0.000  0.719 (multiplicity 4)

Offset from the most stable computed form in eV per atom: 0.088
Total magnetization in μB/cell: 0.000
Mass density in Mg/m³: 11.55

[6]
Material: Y2BeMoAs
Method: DFT, PBE
State: optimized geometry

Lattice parameters (Å, degrees): 5.378 5.378 4.775 90.00 90.00 90.00
Space group P4/mmm (No. 123)
One atom of each set of equivalent atoms:
Y  0.000  0.500  0.000 (multiplicity 2)
Be  0.000  0.000  0.500 (multiplicity 1)
Mo  0.500  0.500  0.000 (multiplicity 1)
As  0.500  0.500  0.500 (multiplicity 1)

Total magnetization in μB/cell: 0.000
Mass density in Mg/m³: 4.30
Energy of formation in eV per atom: 0.5713

[7]
Material: La4SiAg
Method: DFT, PBE
State: optimized geometry

Lattice parameters (Å, degrees): 14.340 14.340 14.340 90.00 90.00 90.00
Space group F-43m (No. 216)
One atom of each set of equivalent atoms:
La  0.000  0.000  0.188 (multiplicity 24)
La  0.052  0.250  0.750 (multiplicity 24)
La  0.139  0.139  0.361 (multiplicity 16)
Si  0.148  0.148  0.148 (multiplicity 16)
Ag  0.084  0.084  0.584 (multiplicity 16)

Offset from the most stable computed form in eV per atom: 0.000
Total magnetization in μB/cell: 0.013
Mass density in Mg/m³: 6.23

[8]
Material: LaScCr2
Method: DFT, PBE
State: optimized geometry

Lattice parameters (Å, degrees): 9.295 3.240 6.031 90.00 99.62 90.00
Space group C2/m (No. 12)
One atom of each set of equivalent atoms:
La  0.000  0.000  0.000 (multiplicity 2)
Sc  0.000  0.500  0.500 (multiplicity 2)
Cr  0.244  0.000  0.701 (multiplicity 4)

Offset from the most stable computed form in eV per atom: 0.295
Total magnetization in μB/cell: 12.312
Mass density in Mg/m³: 5.34
Energy of formation in eV per atom: 0.6617

[9]
Material: CaLa2Br
Method: DFT, PBE
State: optimized geometry

Lattice parameters (Å, degrees): 9.329 9.329 6.589 90.00 90.00 90.00
Space group I-42d (No. 122)
One atom of each set of equivalent atoms:
Ca  0.000  0.000  0.000 (multiplicity 4)
La  0.190  0.250  0.625 (multiplicity 8)
Br  0.000  0.000  0.500 (multiplicity 4)

Total magnetization in μB/cell: 0.000
Uncorrected energy in eV per atom: -3.749
Mass density in Mg/m³: 4.61

[10]
Material: ZrTaSe2
Method: DFT, PBE
State: optimized geometry

Lattice parameters (Å, degrees): 9.534 3.331 4.826 90.00 103.35 90.00
Space group Cm (No. 8)
One atom of each set of equivalent atoms:
Zr  0.000  0.000  0.000 (multiplicity 2)
Ta  0.264  0.500  0.396 (multiplicity 2)
Se  0.264  0.000  0.860 (multiplicity 2)
Se  0.491  0.000  0.486 (multiplicity 2)

Offset from the most stable computed form in eV per atom: 0.095
Total magnetization in μB/cell: 0.000
Mass density in Mg/m³: 9.58

[11]
Material: Ti2TeAs
Method: DFT, PBE
State: optimized geometry

Lattice parameters (Å, degrees): 6.624 6.624 6.624 90.00 90.00 90.00
Space group Fm-3m (No. 225)
One atom of each set of equivalent atoms:
Ti  0.250  0.250  0.250 (multiplicity 8)
Te  0.000  0.000  0.000 (multiplicity 4)
As  0.000  0.000  0.500 (multiplicity 4)

Offset from the most stable computed form in eV per atom: 0.255
Total magnetization in μB/cell: 0.000
Mass density in Mg/m³: 6.82

[12]
Material: BC2
Method: DFT, PBE
State: optimized geometry

Lattice parameters (Å, degrees): 4.597 8.012 4.369 90.00 106.93 90.00
Space group C2/c (No. 15)
One atom of each set of equivalent atoms:
B  0.091  0.091  0.480 (multiplicity 8)
C  0.052  0.418  0.435 (multiplicity 8)
C  0.068  0.257  0.941 (multiplicity 8)

Offset from the most stable computed form in eV per atom: 0.171
Total magnetization in μB/cell: 0.000
Mass density in Mg/m³: 3.01
Energy of formation in eV per atom: 0.4110

[13]
Material: Pu2Al5Ga3
Method: DFT, PBE
State: optimized geometry

Lattice parameters (Å, degrees): 4.219 4.219 11.018 90.00 90.00 90.00
Space group P-4m2 (No. 115)
One atom of each set of equivalent atoms:
Pu  0.000  0.500  0.248 (multiplicity 2)
Al  0.000  0.000  0.000 (multiplicity 1)
Al  0.000  0.000  0.500 (multiplicity 1)
Al  0.000  0.500  0.859 (multiplicity 2)
Al  0.500  0.500  0.000 (multiplicity 1)
Ga  0.000  0.500  0.637 (multiplicity 2)
Ga  0.500  0.500  0.500 (multiplicity 1)

Total magnetization in μB/cell: 11.656
Mass density in Mg/m³: 7.04
Energy of formation in eV per atom: -0.2414

[14]
Material: LiPdO
Method: DFT, PBE
State: optimized geometry

Lattice parameters (Å, degrees): 3.128 3.128 8.446 90.00 90.00 90.00
Space group I4mm (No. 107)
One atom of each set of equivalent atoms:
Li  0.000  0.000  0.000 (multiplicity 2)
Pd  0.000  0.000  0.293 (multiplicity 2)
O  0.000  0.000  0.779 (multiplicity 2)

Offset from the most stable computed form in eV per atom: 0.000
Total magnetization in μB/cell: 0.000
Mass density in Mg/m³: 5.20

[15]
Material: Li3YBr6
Method: DFT, PBE
State: optimized geometry

Lattice parameters (Å, degrees): 7.779 7.857 7.858 61.13 60.89 60.88
Space group P-1 (No. 2)
One atom of each set of equivalent atoms:
Li  0.000  0.000  0.000 (multiplicity 1)
Li  0.000  0.500  0.500 (multiplicity 1)
Li  0.500  0.000  0.500 (multiplicity 1)
Y  0.000  0.500  0.000 (multiplicity 1)
Br  0.230  0.771  0.769 (multiplicity 2)
Br  0.233  0.272  0.268 (multiplicity 2)
Br  0.243  0.247  0.747 (multiplicity 2)

Offset from the most stable computed form in eV per atom: 0.058
Total magnetization in μB/cell: 0.000
Mass density in Mg/m³: 2.82

[16]
Material: RbCo3S
Method: DFT, PBE
State: optimized geometry

Lattice parameters (Å, degrees): 4.406 4.406 4.406 90.00 90.00 90.00
Space group Pm-3m (No. 221)
One atom of each set of equivalent atoms:
Rb  0.000  0.000  0.000 (multiplicity 1)
Co  0.000  0.500  0.500 (multiplicity 3)
S  0.500  0.500  0.500 (multiplicity 1)

Offset from the most stable computed form in eV per atom: 0.000
Total magnetization in μB/cell: 4.000
Mass density in Mg/m³: 5.72

[17]
Material: Nb4TlSe8
Method: DFT, PBE
State: optimized geometry

Lattice parameters (Å, degrees): 6.9819 6.9819 25.6470 90.00 90.00 120.00
Space group R-3m (No. 166, hexagonal axes)
One atom of each set of equivalent atoms:
Nb  0.0000  0.0000  0.0000 (multiplicity 3)
Nb  0.0000  0.5000  0.0000 (multiplicity 9)
Tl  0.0000  0.0000  0.5000 (multiplicity 3)
Se  0.0000  0.0000  0.2676 (multiplicity 6)
Se  0.0009  0.5005  0.7324 (multiplicity 18)

Offset from the most stable computed form in eV per atom: 0.000
Total magnetization in μB/cell: 0.000
Mass density in Mg/m³: 5.56

[18]
Material: K2SrAlGe2
Method: DFT, PBE
State: optimized geometry

Lattice parameters (Å, degrees): 4.617 9.668 8.047 90.00 90.00 90.00
Space group Pmc2_1 (No. 26)
One atom of each set of equivalent atoms:
K  0.000  0.089  0.000 (multiplicity 2)
K  0.500  0.159  0.334 (multiplicity 2)
Sr  0.500  0.450  0.001 (multiplicity 2)
Al  0.000  0.338  0.653 (multiplicity 2)
Ge  0.000  0.403  0.292 (multiplicity 2)
Ge  0.500  0.206  0.726 (multiplicity 2)

Total magnetization in μB/cell: 0.738
Mass density in Mg/m³: 3.13
Energy of formation in eV per atom: -0.1906

[19]
Material: CaCuPb2
Method: DFT, PBE
State: optimized geometry

Lattice parameters (Å, degrees): 4.054 4.520 6.288 90.00 108.56 90.00
Space group Pm (No. 6)
One atom of each set of equivalent atoms:
Ca  0.000  0.000  0.000 (multiplicity 1)
Cu  0.575  0.500  0.153 (multiplicity 1)
Pb  0.333  0.500  0.670 (multiplicity 1)
Pb  0.723  0.000  0.445 (multiplicity 1)

Total magnetization in μB/cell: 0.000
Mass density in Mg/m³: 7.87
Energy of formation in eV per atom: -0.0709

[20]
Material: Cs3Np2SnS6
Method: DFT, PBE
State: optimized geometry

Lattice parameters (Å, degrees): 7.281 12.595 8.339 90.00 106.82 90.00
Space group C2/m (No. 12)
One atom of each set of equivalent atoms:
Cs  0.000  0.000  0.000 (multiplicity 2)
Cs  0.000  0.341  0.000 (multiplicity 4)
Np  0.000  0.167  0.500 (multiplicity 4)
Sn  0.000  0.500  0.500 (multiplicity 2)
S  0.206  0.000  0.679 (multiplicity 4)
S  0.238  0.323  0.682 (multiplicity 8)

Total magnetization in μB/cell: 14.000
Uncorrected energy in eV per atom: -5.963
Mass density in Mg/m³: 5.37